Ac6RuPt: relaxed, GGA-PBE.

Output
energy of formation: -2.9 eV per formula unit
size of the total moment: 0.00 μB/f.u.

Cell: 7.397 7.418 7.273 Å, 59.34 80.97 72.07°
Element x y z (fractional)
Ac (0.745, 0.104, 0.326)
Ac (0.255, 0.571, 0.326)
Ac (0.261, 0.244, 0.000)
Ac (0.255, 0.896, 0.674)
Pt (0.000, 0.000, 0.000)
Ac (0.745, 0.429, 0.674)
Ac (0.739, 0.756, 0.000)
Ru (0.500, 0.500, 0.000)

---

Na3Pu2CuSe6: relaxed, GGA-PBE.

Output
formation energy (no corrections): -1.0725 eV/atom
size of the total moment: 7.99 μB/f.u.

Cell: 7.031 7.031 7.332 Å, 99.17 99.17 120.02°
Element x y z (fractional)
Na (0.834, 0.166, 0.500)
Cu (0.000, 0.000, 0.000)
Se (0.074, 0.400, 0.223)
Pu (0.333, 0.667, 0.000)
Se (0.749, 0.749, 0.222)
Se (0.600, 0.926, 0.777)
Se (0.926, 0.600, 0.777)
Na (0.500, 0.500, 0.500)
Se (0.400, 0.074, 0.223)
Na (0.166, 0.834, 0.500)
Se (0.251, 0.251, 0.778)
Pu (0.667, 0.333, 0.000)

---

The following mass density values (in Mg/m³) correspond, in order, to the records above: 8.4 6.1.